This record from Alexandria describes a relaxed structure of Nd5Sb2I2. The functional is GGA-PBE.

uncorrected formation energy = -0.7878 eV per atom

abc: 16.755 4.520 11.613
angles: 90.00 131.79 90.00
Space group C2/m (No. 12)
Symmetry-distinct sites (fractional):
1 Nd 0.000 0.000 0.000 x2
2 Nd 0.132 0.000 0.448 x4
3 Nd 0.141 0.500 0.953 x4
4 Sb 0.120 0.500 0.255 x4
5 I 0.118 0.000 0.722 x4